No. 1
Compound: BaNaSBr
Source: the Alexandria database
Functional: PBE
Structure: relaxed

The calculation puts the distance to the lowest polymorph of the same formula at 0.099 eV/atom. Its crystal system is cubic.

Unit cell a=5.3982 b=5.3982 c=5.3982 alpha=60.00 beta=60.00 gamma=60.00
Element x y z (fractional)
Ba: 0.0000 0.0000 0.0000
Na: 0.5000 0.5000 0.5000
S: 0.7500 0.7500 0.7500
Br: 0.2500 0.2500 0.2500

=====

No. 2
Compound: Ce2Al5IrPd2
Source: the Alexandria database
Functional: PBE
Structure: relaxed

Its crystal system is tetragonal. As for the formation energy: -591 meV/atom.

Unit cell a=10.2781 b=10.2781 c=3.5128 alpha=90.00 beta=90.00 gamma=90.00
Element x y z (fractional)
Ce: 0.1847 0.3153 0.0000
Ce: 0.3153 0.8153 0.0000
Ce: 0.6847 0.1847 0.0000
Ce: 0.8153 0.6847 0.0000
Al: 0.0000 0.5000 0.5000
Al: 0.0459 0.8135 0.5000
Al: 0.1865 0.0459 0.5000
Al: 0.3135 0.5459 0.5000
Al: 0.4541 0.3135 0.5000
Al: 0.5000 0.0000 0.5000
Al: 0.5459 0.6865 0.5000
Al: 0.6865 0.4541 0.5000
Al: 0.8135 0.9541 0.5000
Al: 0.9541 0.1865 0.5000
Ir: 0.0000 0.0000 0.0000
Ir: 0.5000 0.5000 0.0000
Pd: 0.1221 0.6221 0.0000
Pd: 0.3779 0.1221 0.0000
Pd: 0.6221 0.8779 0.0000
Pd: 0.8779 0.3779 0.0000

=====

| no. | E_tot (eV/atom) |
| --- | --- |
| 1 | -3.869 |
| 2 | -5.574 |